# 1
15
Lattice="-6.5384 4.3084 4.5482 -0.7961 -1.3780 -8.8707 1.3309 -8.8264 1.2427" Properties=species:S:1:pos:R:3 comment="PBE-GGA Pm4Ho3Bi8, relaxed" e_form_ev_per_atom=-0.70 pbc="T T T"
Bi -2.4753 -4.7919 0.9637
Bi -3.5283 -1.1041 -4.0435
Bi 0.7849 -6.9145 -1.3534
Bi 0.0968 -2.6223 -1.9517
Bi -6.1004 -3.2738 -1.1281
Bi -3.2205 -0.4404 0.3530
Bi -0.2501 -3.2899 -6.2747
Bi -2.7830 -5.4556 -3.4328
Ho -3.6672 1.4652 -2.1612
Ho -2.6038 -2.2590 2.8954
Ho -3.0018 -2.9480 -1.5399
Pm 0.6655 -4.4132 0.6213
Pm 0.0000 0.0000 0.0000
Pm -3.2692 2.1542 2.2741
Pm -0.3980 -0.6890 -4.4353

***

# 2
14
Lattice="-3.6658 4.3213 1.0447 -7.2506 -5.3075 -3.4876 2.1936 -0.4062 9.3770" Properties=species:S:1:pos:R:3 comment="PBE-GGA LaSm3Er3, relaxed" e_form_ev_per_atom=0.02 de_polymorph_kj_per_mol_atoms=0.0 pbc="T T T"
La -3.7038 1.2010 5.8723
La -5.0190 -2.5934 1.0617
Er -6.2249 -1.2232 7.0533
Er -1.2956 2.6679 8.2548
Er -3.5909 2.1583 2.3088
Er -7.4272 -4.0603 -1.3207
Er -5.1319 -3.5507 4.6252
Er -2.4978 -0.1692 -0.1192
Sm -6.0959 -0.2654 3.5443
Sm -8.4766 -1.7151 1.1872
Sm -2.7397 -2.0746 6.9132
Sm -5.9831 0.6822 0.0209
Sm -0.2462 0.3226 5.7469
Sm -2.6269 -1.1270 3.3898

***

# 3
5
Lattice="-0.4545 0.2392 -4.2005 2.2866 -3.5325 -0.4486 -3.5317 -2.3178 0.2502" Properties=species:S:1:pos:R:3 comment="PBE-GGA Ge3HF, relaxed" de_polymorph_kj_per_mol_atoms=0.0 pbc="T T T"
Ge -0.2273 0.1196 -2.1003
Ge -1.7659 -1.1589 0.1251
Ge 1.1433 -1.7662 -0.2243
F -0.8499 -2.8056 -2.1995
H 0.0000 0.0000 0.0000

***

# 4
20
Lattice="-5.9933 -0.5957 -0.1562 -2.2433 -7.4930 -2.2366 -3.0819 -1.5738 7.3624" Properties=species:S:1:pos:R:3 comment="PBE-GGA Er2Si5Pt3, relaxed" raw_formation_energy_ev_per_atom=-0.948 pbc="T T T"
Si -3.9331 -6.2903 -0.0838
Si -5.7995 -2.5470 -0.4480
Si -4.3885 -3.0756 5.1293
Si -5.5190 -7.1155 5.4176
Si -2.9932 -0.9056 1.8089
Si -7.1574 -4.9814 2.4436
Si -7.3854 -3.3721 5.0534
Si -8.3253 -8.7568 3.1607
Si -4.1611 -4.6810 2.5260
Si -6.9300 -6.5868 -0.1597
Pt -5.6962 -4.9876 4.4071
Pt -2.8559 -2.7516 3.2764
Pt -7.5765 -2.0232 7.2408
Pt -3.7420 -7.6392 -2.2712
Pt -8.4626 -6.9108 1.6932
Pt -5.6223 -4.6748 0.5625
Er -8.6062 -6.3014 4.8559
Er -5.9257 -2.1287 2.5170
Er -5.3928 -7.5337 2.4526
Er -2.7123 -3.3610 0.1137

***

# 5
19
Lattice="-7.2955 0.1925 0.3973 4.1237 -0.4738 8.7238 0.4176 8.7636 3.4224" Properties=species:S:1:pos:R:3 comment="PBE-GGA Ho12Tm5Zr2, relaxed" e_form_ev_per_atom=0.17 pbc="T T T"
Ho -1.1625 7.4874 9.2276
Ho -5.1283 4.3365 4.8018
Ho 0.7563 5.6211 11.1634
Ho -1.4554 4.2396 4.6018
Ho -3.5104 2.8612 1.3801
Ho -3.1094 1.4080 9.4473
Ho 2.5490 7.3895 9.0255
Ho 2.3742 4.1457 7.7417
Ho -1.2987 4.2426 7.9418
Ho 0.3552 7.0742 3.0962
Ho -1.5917 0.9948 3.3159
Ho -5.3032 1.0927 3.5180
Zr -2.3644 0.0624 0.1288
Zr -4.9311 0.1301 0.2686
Tm 0.3872 1.6024 6.3338
Tm -3.1414 6.8798 6.2097
Tm 0.2088 4.3818 1.7112
Tm 0.5208 6.7522 6.2922
Tm -3.2750 1.7300 6.2513

***

# 6
14
Lattice="-2.7736 -1.4426 6.1802 -5.0262 -3.6773 -3.0305 5.3144 -7.7404 0.5783" Properties=species:S:1:pos:R:3 comment="PBE-GGA NdIn3Bi3, relaxed" e_form_ev_per_atom=-0.17 pbc="T T T"
In -4.4036 -3.0597 -0.4848
In -1.8420 -7.0247 -0.5863
In 0.2838 -5.4275 1.2474
In -3.3962 -2.0602 3.6345
In -0.6434 -5.8356 4.3143
In -2.7692 -7.4328 2.4806
Nd -0.5962 -11.6198 2.9650
Nd -1.8893 -1.2405 0.7630
Bi -6.4822 -7.0389 3.2931
Bi -3.9646 -5.2069 4.8086
Bi 3.9968 -5.8214 0.4349
Bi 2.6053 -6.5362 3.5244
Bi 1.4791 -7.6534 -1.0806
Bi -5.0907 -6.3241 0.2036

***

# 7
4
Lattice="2.7015 0.0000 0.0000 0.0000 2.7015 0.0000 0.0000 0.0000 7.0946" Properties=species:S:1:pos:R:3 comment="PBE-GGA CuNiRh2, relaxed" e_form_ev_per_atom=0.06 pbc="T T T"
Rh 0.0000 0.0000 7.0177
Rh 1.3507 1.3507 1.7978
Cu 0.0000 0.0000 3.6456
Ni 1.3507 1.3507 5.2755

***

# 8
7
Lattice="-1.7242 3.5204 6.1546 -6.6540 1.3843 -2.6559 2.6125 -6.4695 0.1068" Properties=species:S:1:pos:R:3 comment="PBE-GGA Ag2AsI4, relaxed" raw_formation_energy_ev_per_atom=-0.023 pbc="T T T"
I -3.2252 2.1811 4.4379
I -5.8046 1.0634 -0.1720
I -3.4426 -1.9038 2.3879
I 0.9411 -4.4701 0.5572
Ag -1.6504 -0.2483 4.0054
Ag -4.1153 -1.3164 -0.3999
As -4.1891 2.4524 1.7494

***

# 9
4
Lattice="-0.9116 -2.5656 -3.7969 -0.9937 -4.5446 0.4347 -4.3426 -1.5287 -0.7992" Properties=species:S:1:pos:R:3 comment="PBE-GGA Cd2AgRh, relaxed" e_form_ev_per_atom=0.02 de_polymorph_kj_per_mol_atoms=12.4 pbc="T T T"
Cd -1.9055 -7.1102 -3.3622
Cd -1.5619 -2.1598 -1.0404
Ag -3.1240 -4.3195 -2.0807
Rh -4.6857 -6.4793 -3.1211

***

# 10
12
Lattice="-4.2003 2.1022 1.2583 -1.9691 -0.7960 -4.3700 -2.3020 -5.8589 2.1045" Properties=species:S:1:pos:R:3 comment="PBE-GGA NaSbTe2O8, relaxed" raw_formation_energy_ev_per_atom=-1.104 pbc="T T T"
Te -4.7980 -3.7076 0.0105
Te -3.6734 -0.8451 -1.0177
Na -1.1510 -2.9294 1.0522
O -4.1998 -4.7619 -1.6035
O -3.1584 -2.5025 0.0448
O -5.3130 -2.0501 -1.0521
O -1.8501 0.3934 -0.9282
O -2.9282 -1.5262 -2.7657
O -4.2715 0.2093 0.5963
O -5.5432 -3.0265 1.7584
O -6.6213 -4.9460 -0.0790
Sb 0.0000 0.0000 0.0000

***

# 11
8
Lattice="3.8980 0.0000 0.0000 0.0000 3.8980 0.0000 1.9490 1.9490 8.4063" Properties=species:S:1:pos:R:3 comment="PBE-GGA TlAgB2, relaxed" e_form_ev_per_atom=1.11 de_polymorph_kj_per_mol_atoms=0.0 pbc="T T T"
B 2.9235 3.8982 6.3047
B 1.9488 0.9745 2.1016
B 1.9492 2.9235 2.1016
B 4.8726 3.8979 6.3047
Ag 1.9490 3.8980 4.2031
Ag 1.9490 1.9490 0.0000
Tl 3.8980 1.9490 4.2031
Tl 0.0000 0.0000 0.0000

***

# 12
5
Lattice="4.4786 0.0000 0.0000 0.0000 4.4786 0.0000 0.0000 0.0000 4.4786" Properties=species:S:1:pos:R:3 comment="PBE-GGA TaSiW3, relaxed" raw_formation_energy_ev_per_atom=1.093 de_polymorph_kj_per_mol_atoms=0.0 pbc="T T T"
W 0.0000 2.2393 0.0000
W 0.0000 0.0000 2.2393
W 2.2393 0.0000 0.0000
Si 0.0000 0.0000 0.0000
Ta 2.2393 2.2393 2.2393